! LiMnPRh | Alexandria via LeMat-Bulk | PBE | optimized geometry; values from VASP
&SYSTEM
  ibrav = 0, nat = 4, ntyp = 4
/
ATOMIC_SPECIES
P 30.97 P.upf
Mn 54.94 Mn.upf
Rh 102.91 Rh.upf
Li 6.94 Li.upf
CELL_PARAMETERS angstrom
-1.559 -1.148 -3.507
2.417 -1.027 -3.026
0.256 -3.830 -1.148
ATOMIC_POSITIONS crystal
P 0.250 0.250 0.250
Mn 0.000 0.000 0.000
Rh 0.500 0.500 0.500
Li 0.750 0.750 0.750
! Total DFT energy (no corrections) ... -6.36 eV/atom
! Energy relative to the elements ... -0.400 eV per atom

***

! ScBeOs2 | Alexandria via LeMat-Bulk | PBE | optimized geometry; values from VASP
&SYSTEM
  ibrav = 0, nat = 8, ntyp = 3
/
ATOMIC_SPECIES
Sc 44.96 Sc.upf
Be 9.01 Be.upf
Os 190.23 Os.upf
CELL_PARAMETERS angstrom
4.000 0.000 0.000
0.000 4.000 0.000
2.000 2.000 8.502
ATOMIC_POSITIONS crystal
Sc 0.000 0.000 0.000
Sc 0.750 0.250 0.500
Be 0.500 0.500 0.000
Be 0.250 0.750 0.500
Os 0.536 0.125 0.250
Os 0.214 0.625 0.250
Os 0.375 0.464 0.750
Os 0.875 0.786 0.750
! Total DFT energy (no corrections) ... -7.80 eV/atom
! Energy relative to the elements ... 0.330 eV per atom